(1)
A relaxed structure of Sm4In5Ga2, computed with PBE-GGA.

Cell: 7.882 3.685 9.889 Å, 90.00 94.80 90.00°
Space group P2/m (No. 10)
Inequivalent atoms, fractional coordinates:
Sm  0.179  0.000  0.369 [2 per cell]
Sm  0.255  0.000  0.935 [2 per cell]
In  0.176  0.500  0.655 [2 per cell]
In  0.446  0.500  0.189 [2 per cell]
In  0.500  0.500  0.500 [1 per cell]
Ga  0.065  0.500  0.128 [2 per cell]

## Properties
Its density of states at the Fermi level is 7.42 states/eV per cell. Its formation energy is -0.48 eV per atom. For the calculated total energy, the calculation gives -3.9913 eV/atom. Its theoretical density is 7.6 g cm⁻³.

(2)
A relaxed structure of Sm4In2Ga, computed with PBE-GGA.

Cell: 5.2936 5.2936 25.9590 Å, 90.00 90.00 120.00°
Space group R-3m (No. 166, hexagonal axes)
Inequivalent atoms, fractional coordinates:
Sm  0.0000  0.0000  0.1240 [6 per cell]
Sm  0.0000  0.0000  0.3753 [6 per cell]
In  0.0000  0.0000  0.2515 [6 per cell]
Ga  0.0000  0.0000  0.5000 [3 per cell]

## Properties
Its density of states at the Fermi level is 23.69 states/eV per cell. Its formation energy is -0.33 eV per atom. For the calculated total energy, the calculation gives -4.2432 eV/atom. Its theoretical density is 7.1 g cm⁻³.

(3)
A relaxed structure of Sm3InGa, computed with PBE-GGA.

Cell: 10.381 6.158 11.329 Å, 90.00 122.99 90.00°
Space group P2_1/c (No. 14)
Inequivalent atoms, fractional coordinates:
Sm  0.000  0.001  0.222 [4 per cell]
Sm  0.301  0.191  0.149 [4 per cell]
Sm  0.361  0.749  0.930 [4 per cell]
In  0.124  0.686  0.062 [4 per cell]
Ga  0.302  0.248  0.900 [4 per cell]

## Properties
Its density of states at the Fermi level is 21.89 states/eV per cell. Its formation energy is -0.28 eV per atom. For the calculated total energy, the calculation gives -4.2676 eV/atom. Its theoretical density is 7.0 g cm⁻³.

(4)
A relaxed structure of Sm12In3Ga5, computed with PBE-GGA.

Cell: 17.705 17.705 17.705 Å, 90.00 90.00 90.00°
Space group Ia-3d (No. 230)
Inequivalent atoms, fractional coordinates:
Sm  0.022  0.068  0.647 [96 per cell]
In  0.000  0.250  0.125 [24 per cell]
Ga  0.000  0.000  0.000 [16 per cell]
Ga  0.000  0.250  0.375 [24 per cell]

## Properties
Its density of states at the Fermi level is 287.38 states/eV per cell. Its formation energy is 0.02 eV per atom. For the calculated total energy, the calculation gives -3.9760 eV/atom. Its theoretical density is 6.0 g cm⁻³.

(5)
A relaxed structure of Sm2InGa2, computed with PBE-GGA.

Cell: 4.118 14.040 4.269 Å, 90.00 90.00 90.00°
Space group Cmmm (No. 65)
Inequivalent atoms, fractional coordinates:
Sm  0.000  0.133  0.000 [4 per cell]
In  0.000  0.500  0.500 [2 per cell]
Ga  0.000  0.300  0.500 [4 per cell]

## Properties
Its density of states at the Fermi level is 4.96 states/eV per cell. Its formation energy is -0.60 eV per atom. For the calculated total energy, the calculation gives -4.2507 eV/atom. Its theoretical density is 7.5 g cm⁻³.

(6)
A relaxed structure of Sm4InGa3, computed with PBE-GGA.

Cell: 4.209 4.507 11.298 Å, 90.00 90.00 90.00°
Space group Pmm2 (No. 25)
Inequivalent atoms, fractional coordinates:
Sm  0.000  0.000  0.000 [1 per cell]
Sm  0.000  0.500  0.486 [1 per cell]
Sm  0.500  0.000  0.708 [1 per cell]
Sm  0.500  0.500  0.217 [1 per cell]
In  0.000  0.500  0.779 [1 per cell]
Ga  0.000  0.000  0.281 [1 per cell]
Ga  0.500  0.000  0.425 [1 per cell]
Ga  0.500  0.500  0.940 [1 per cell]

## Properties
Its density of states at the Fermi level is 8.34 states/eV per cell. Its formation energy is -0.55 eV per atom. For the calculated total energy, the calculation gives -4.3864 eV/atom. Its theoretical density is 7.2 g cm⁻³.